# BaLi2Ac2Sn2

A relaxed BaLi2Ac2Sn2 crystal (PBE-GGA, Alexandria).

Unit cell a=5.125 b=5.125 c=10.790 alpha=76.26 beta=76.26 gamma=60.00
Positions (direct):
1 Ac 0.130 0.130 0.609
2 Ba 0.000 0.000 0.000
3 Sn 0.255 0.255 0.234
4 Li 0.411 0.411 0.766
5 Ac 0.870 0.870 0.391
6 Li 0.589 0.589 0.234
7 Sn 0.745 0.745 0.766

Results
M_tot = 0.00 μB/f.u.
Final energy = -25.11 eV per cell
Symmetry = R-3m
Crystal system = trigonal
D(E_F) = 0.620 states/eV/atom